Record 1
DFT (PBE) results for a relaxed Rb2HfS4 crystal. Values from VASP.

## Properties
The value obtained for the total magnetization is 0.267 μB per atom. As for the space group: Cmmm. As for the energy: -5.04 eV/atom. The value obtained for the uncorrected formation energy is -0.978 eV per atom.

```
&SYSTEM
  ibrav = 0, nat = 14, ntyp = 3
/
ATOMIC_SPECIES
Rb 85.47 Rb.upf
Hf 178.49 Hf.upf
S 32.06 S.upf
ATOMIC_POSITIONS angstrom
Rb 2.670 3.224 0.000
Rb 2.670 9.672 0.000
Rb 8.011 3.224 0.000
Rb 8.011 9.672 0.000
Hf 0.000 0.000 1.905
Hf 5.341 6.448 1.905
S 0.000 2.493 1.905
S 0.000 10.403 1.905
S 1.730 0.000 0.000
S 3.611 6.448 0.000
S 5.341 3.955 1.905
S 5.341 8.941 1.905
S 7.070 6.448 0.000
S 8.952 0.000 0.000
CELL_PARAMETERS angstrom
10.681 0.000 0.000
0.000 12.896 0.000
0.000 0.000 3.810
```

=====

Record 2
DFT (PBE) results for a relaxed LaCuSi3 crystal. Values from VASP.

## Properties
The value obtained for the total magnetization is 0.000 μB per atom. As for the space group: Pm-3m. As for the energy: -3.39 eV/atom. The value obtained for the uncorrected formation energy is 1.673 eV per atom.

```
&SYSTEM
  ibrav = 0, nat = 5, ntyp = 3
/
ATOMIC_SPECIES
La 138.91 La.upf
Cu 63.55 Cu.upf
Si 28.09 Si.upf
ATOMIC_POSITIONS angstrom
La 0.000 0.000 0.000
Cu 2.744 2.744 2.744
Si 0.000 0.000 2.744
Si 0.000 2.744 0.000
Si 2.744 0.000 0.000
CELL_PARAMETERS angstrom
5.488 0.000 0.000
0.000 5.488 0.000
0.000 0.000 5.488
```